# 1
Density functional theory data (PBE) for an optimized crystal structure of Na3NdNp3S8.

Its formation energy from raw total energies is -1.450 eV per atom. For the volume, the calculation gives 1129.1 Å³ per cell. Its total magnetization is 33.0 μB/cell. Its crystal system is trigonal.

Cell: 8.0816 8.0816 19.9630 Å, 90.00 90.00 120.00°
Space group R-3m (No. 166, hexagonal axes)
Inequivalent atoms, fractional coordinates:
Na  0.0000  0.5000  0.0000
Nd  0.0000  0.0000  0.5000
Np  0.0000  0.5000  0.5000
S  0.0000  0.0000  0.2412
S  0.0098  0.5049  0.7589

# 2
Density functional theory data (PBE) for an optimized crystal structure of Ce2YH.

For the energy above the most stable polymorph in this dataset, the calculation gives 139 meV per atom. For the volume, the calculation gives 89.7 Å³ per cell. Its total magnetization is 0.4 μB/cell. Its crystal system is tetragonal.

Cell: 3.242 3.242 8.537 Å, 90.00 90.00 90.00°
Space group P4/mmm (No. 123)
Inequivalent atoms, fractional coordinates:
Ce  0.000  0.000  0.161
Y  0.500  0.500  0.500
H  0.500  0.500  0.000

# 3
Density functional theory data (PBE) for an optimized crystal structure of PmNdIN.

Its formation energy from raw total energies is -1.201 eV per atom. For the volume, the calculation gives 285.2 Å³ per cell. Its total magnetization is 0.0 μB/cell. Its crystal system is trigonal.

Cell: 3.7944 3.7944 22.8816 Å, 90.00 90.00 120.00°
Space group R3m (No. 160, hexagonal axes)
Inequivalent atoms, fractional coordinates:
Pm  0.0000  0.0000  0.0000
Nd  0.0000  0.0000  0.7808
I  0.0000  0.0000  0.5579
N  0.0000  0.0000  0.3869

# 4
Density functional theory data (PBE) for an optimized crystal structure of KRbI4.

Its formation energy from raw total energies is -0.847 eV per atom. For the volume, the calculation gives 569.8 Å³ per cell. Its total magnetization is 0.0 μB/cell. Its crystal system is monoclinic.

Cell: 12.591 4.620 9.797 Å, 90.00 90.90 90.00°
Space group C2/m (No. 12)
Inequivalent atoms, fractional coordinates:
K  0.000  0.000  0.000
Rb  0.000  0.000  0.500
I  0.130  0.500  0.243
I  0.132  0.500  0.759

# 5
Density functional theory data (PBE) for an optimized crystal structure of U2Si3Pt2.

Its formation energy from raw total energies is -0.629 eV per atom. For the volume, the calculation gives 504.3 Å³ per cell. Its total magnetization is 16.7 μB/cell. Its crystal system is orthorhombic.

Cell: 4.222 17.661 6.763 Å, 90.00 90.00 90.00°
Space group Cmcm (No. 63)
Inequivalent atoms, fractional coordinates:
U  0.000  0.051  0.250
U  0.000  0.149  0.750
Si  0.000  0.219  0.250
Si  0.000  0.441  0.071
Pt  0.000  0.309  0.543

# 6
Density functional theory data (PBE) for an optimized crystal structure of MgAlRe2.

For the energy of formation from the pure elements, the calculation gives -7.4 kJ/mol of atoms. For the energy above the most stable polymorph in this dataset, the calculation gives 0 meV per atom. For the volume, the calculation gives 62.1 Å³ per cell. Its total magnetization is 0.0 μB/cell. Its crystal system is tetragonal.

Cell: 3.091 3.091 6.502 Å, 90.00 90.00 90.00°
Space group P4mm (No. 99)
Inequivalent atoms, fractional coordinates:
Mg  0.000  0.000  0.000
Al  0.500  0.500  0.723
Re  0.000  0.000  0.489
Re  0.500  0.500  0.261

# 7
Density functional theory data (PBE) for an optimized crystal structure of Pa5Tc4Pd.

For the energy of formation from the pure elements, the calculation gives -20.8 kJ/mol of atoms. For the volume, the calculation gives 205.5 Å³ per cell. Its total magnetization is 0.0 μB/cell. Its crystal system is tetragonal.

Cell: 3.371 3.371 18.078 Å, 90.00 90.00 90.00°
Space group P4/mmm (No. 123)
Inequivalent atoms, fractional coordinates:
Pa  0.000  0.000  0.000
Pa  0.000  0.000  0.197
Pa  0.000  0.000  0.391
Tc  0.500  0.500  0.100
Tc  0.500  0.500  0.296
Pd  0.500  0.500  0.500

# 8
Density functional theory data (PBE) for an optimized crystal structure of Na3Pm2BiTe6.

Its formation energy from raw total energies is -1.062 eV per atom. For the volume, the calculation gives 806.9 Å³ per cell. Its total magnetization is 0.0 μB/cell. Its crystal system is monoclinic.

Cell: 7.841 13.582 8.014 Å, 90.00 109.01 90.00°
Space group C2/m (No. 12)
Inequivalent atoms, fractional coordinates:
Na  0.000  0.000  0.000
Na  0.000  0.337  0.000
Pm  0.000  0.167  0.500
Bi  0.000  0.500  0.500
Te  0.245  0.334  0.738
Te  0.246  0.000  0.736